# 1
Compound: CeSmSb
Source: Alexandria via LeMat-Bulk
Functional: GGA-PBE
Structure: optimized geometry

Lattice parameters (Å, degrees): 5.0297 5.0297 8.9563 73.69 73.69 60.00
With the nearest neighbours (Å) after each atom.
Element x y z (fractional)
1 Sb 0.5808 0.5808 0.2575  4 Sm 3.09-3.31, 3 Ce 3.25
2 Sb 0.4192 0.4192 0.7425  4 Sm 3.09-3.31, 3 Ce 3.25
3 Sm 0.2891 0.2891 0.1326  4 Sb 3.09-3.31
4 Sm 0.7109 0.7109 0.8674  4 Sb 3.09-3.31
5 Ce 0.8568 0.8568 0.4296  3 Ce 3.14, 3 Sb 3.25
6 Ce 0.1432 0.1432 0.5704  3 Ce 3.14, 3 Sb 3.25

---

# 2
Compound: CeSmSb2
Source: Alexandria via LeMat-Bulk
Functional: GGA-PBE
Structure: optimized geometry

Lattice parameters (Å, degrees): 4.4450 4.4450 8.0452 73.96 73.96 60.00
With the nearest neighbours (Å) after each atom.
Element x y z (fractional)
1 Ce 0.6692 0.6692 0.9924  6 Sb 3.15-3.22
2 Sb 0.0824 0.0824 0.7529  3 Ce 3.15, 3 Sm 3.17
3 Sb 0.2510 0.2510 0.2469  3 Ce 3.22, 3 Sm 3.25
4 Sm 0.4974 0.4974 0.5078  6 Sb 3.17-3.25

Output
Energy above the most stable polymorph in this dataset, meV per atom: 121

---

# 3
Compound: Ce2SmSb4
Source: Alexandria via LeMat-Bulk
Functional: GGA-PBE
Structure: optimized geometry

Lattice parameters (Å, degrees): 4.4838 4.4838 13.2590 80.27 80.27 60.00
With the nearest neighbours (Å) after each atom.
Element x y z (fractional)
1 Ce 0.4010 0.4010 0.7969  7 Sb 3.16-3.46
2 Ce 0.5990 0.5990 0.2031  7 Sb 3.16-3.46
3 Sb 0.8825 0.8825 0.3526  3 Sm 3.22, 3 Ce 3.24
4 Sb 0.3122 0.3122 0.0633  3 Sb 3.07, 3 Ce 3.16
5 Sb 0.1175 0.1175 0.6474  3 Sm 3.22, 3 Ce 3.24
6 Sb 0.6878 0.6878 0.9367  3 Sb 3.07, 3 Ce 3.16
7 Sm 0.5000 0.5000 0.5000  6 Sb 3.22

---

# 4
Compound: Ce3Sm5Sb8
Source: Alexandria via LeMat-Bulk
Functional: GGA-PBE
Structure: optimized geometry

Lattice parameters (Å, degrees): 8.9595 8.9595 8.9620 60.01 60.01 60.00
With the nearest neighbours (Å) after each atom.
Element x y z (fractional)
1 Sb 0.2500 0.7502 0.7497  2 Ce 3.17, 4 Sm 3.17
2 Sb 0.2500 0.2500 0.7497  2 Ce 3.17, 4 Sm 3.17
3 Sb 0.7500 0.2498 0.2503  2 Ce 3.17, 4 Sm 3.17
4 Sb 0.7502 0.2500 0.7497  2 Ce 3.17, 4 Sm 3.17
5 Sb 0.2502 0.2502 0.2494  3 Sm 3.17, 3 Ce 3.17
6 Sb 0.2498 0.7500 0.2503  2 Ce 3.17, 4 Sm 3.17
7 Sb 0.7500 0.7500 0.2503  2 Ce 3.17, 4 Sm 3.17
8 Sb 0.7498 0.7498 0.7506  3 Sm 3.17, 3 Ce 3.17
9 Ce 0.5000 0.0000 0.5000  6 Sb 3.17
10 Ce 0.0000 0.5000 0.5000  6 Sb 3.17
11 Ce 0.0000 0.0000 0.5000  6 Sb 3.17
12 Sm 0.0000 0.5000 0.0000  6 Sb 3.17
13 Sm 0.5000 0.5000 0.5000  6 Sb 3.17
14 Sm 0.5000 0.0000 0.0000  6 Sb 3.17
15 Sm 0.0000 0.0000 0.0000  6 Sb 3.17
16 Sm 0.5000 0.5000 0.0000  6 Sb 3.17

---

# 5
Compound: Ce4SmSb5
Source: Alexandria via LeMat-Bulk
Functional: GGA-PBE
Structure: optimized geometry

Lattice parameters (Å, degrees): 4.4888 6.3590 11.9082 105.49 100.86 90.00
With the nearest neighbours (Å) after each atom.
Element x y z (fractional)
1 Ce 0.4004 0.4004 0.8009  6 Sb 3.17-3.18
2 Ce 0.1994 0.1994 0.3989  6 Sb 3.17-3.19
3 Ce 0.5996 0.5996 0.1991  6 Sb 3.17-3.18
4 Ce 0.8006 0.8006 0.6011  6 Sb 3.17-3.19
5 Sm 0.0000 0.0000 0.0000  6 Sb 3.17-3.18
6 Sb 0.1999 0.6999 0.3997  6 Ce 3.18-3.19
7 Sb 0.5998 0.0998 0.1995  4 Ce 3.17-3.18, 2 Sm 3.17
8 Sb 0.8001 0.3001 0.6003  6 Ce 3.18-3.19
9 Sb 0.4002 0.9002 0.8005  4 Ce 3.17-3.18, 2 Sm 3.17
10 Sb 0.0000 0.5000 0.0000  4 Ce 3.17, 2 Sm 3.18

---

# 6
Compound: CeSmSb
Source: Alexandria via LeMat-Bulk
Functional: GGA-PBE
Structure: optimized geometry

Lattice parameters (Å, degrees): 4.1365 4.1365 5.8380 110.75 110.75 90.00
With the nearest neighbours (Å) after each atom.
Element x y z (fractional)
1 Sb 0.2869 0.2869 0.5737  5 Sm 3.26-3.60, 5 Ce 3.31-3.50
2 Sm 0.9304 0.9304 0.8607  1 Ce 3.01, 4 Sb 3.26
3 Ce 0.6328 0.6328 0.2656  1 Sm 3.01, 4 Sb 3.31

---

# 7
Compound: CeSmSb
Source: Alexandria via LeMat-Bulk
Functional: GGA-PBE
Structure: optimized geometry

Lattice parameters (Å, degrees): 4.9655 4.1646 9.8476 90.00 90.00 90.00
With the nearest neighbours (Å) after each atom.
Element x y z (fractional)
1 Ce 0.5000 0.4999 0.7500  4 Sb 3.24, 4 Sm 3.50
2 Ce 0.5000 0.5001 0.2500  4 Sb 3.24, 4 Sm 3.50
3 Sb 0.0000 0.0000 0.2500  4 Sm 3.22, 4 Ce 3.24
4 Sb 0.0000 0.0000 0.7500  4 Sm 3.22, 4 Ce 3.24
5 Sm 0.0000 0.5000 0.0000  4 Sb 3.22, 4 Ce 3.50
6 Sm 0.0000 0.5000 0.5000  4 Sb 3.22, 4 Ce 3.50

---

# 8
Compound: TbCeSm2Sb5
Source: Alexandria via LeMat-Bulk
Functional: GGA-PBE
Structure: optimized geometry

Lattice parameters (Å, degrees): 5.2950 5.2950 11.7469 90.00 90.00 90.00
With the nearest neighbours (Å) after each atom.
Element x y z (fractional)
1 Sb 0.5000 0.5000 0.0000  2 Sm 3.27
2 Sb 0.0000 0.0000 0.2477  1 Ce 2.91, 1 Tb 2.96
3 Sb 0.0000 0.0000 0.7523  1 Ce 2.91, 1 Tb 2.96
4 Sb 0.0000 0.5000 0.5000  2 Tb 2.65
5 Sb 0.5000 0.0000 0.5000  2 Tb 2.65
6 Tb 0.0000 0.0000 0.5000  6 Sb 2.65-2.96
7 Ce 0.0000 0.0000 0.0000  2 Sb 2.91
8 Sm 0.5000 0.5000 0.2782  1 Sb 3.27
9 Sm 0.5000 0.5000 0.7218  1 Sb 3.27

---

# 9
Compound: TbCe3Sm2Sb6
Source: Alexandria via LeMat-Bulk
Functional: GGA-PBE
Structure: optimized geometry

Lattice parameters (Å, degrees): 7.7501 7.7501 7.7501 99.60 99.60 119.99
With the nearest neighbours (Å) after each atom.
Element x y z (fractional)
1 Tb 0.0000 0.0000 0.0000  6 Sb 3.14
2 Ce 0.5000 0.5000 0.5000  6 Sb 3.17-3.19
3 Ce 0.1677 0.8323 0.5000  6 Sb 3.17-3.18
4 Ce 0.8323 0.1677 0.5000  6 Sb 3.17-3.18
5 Sm 0.6662 0.3338 0.0000  6 Sb 3.16-3.17
6 Sm 0.3338 0.6662 0.0000  6 Sb 3.16-3.17
7 Sb 0.0824 0.4133 0.2477  1 Tb 3.14, 2 Sm 3.16-3.17, 3 Ce 3.17-3.18
8 Sb 0.2477 0.2477 0.7511  1 Tb 3.14, 2 Sm 3.16, 3 Ce 3.17-3.19
9 Sb 0.7523 0.7523 0.2489  1 Tb 3.14, 2 Sm 3.16, 3 Ce 3.17-3.19
10 Sb 0.4133 0.0824 0.2477  1 Tb 3.14, 2 Sm 3.16-3.17, 3 Ce 3.17-3.18
11 Sb 0.9176 0.5867 0.7523  1 Tb 3.14, 2 Sm 3.16-3.17, 3 Ce 3.17-3.18
12 Sb 0.5867 0.9176 0.7523  1 Tb 3.14, 2 Sm 3.16-3.17, 3 Ce 3.17-3.18

---

# 10
Compound: TbCe2Sm3Sb6
Source: Alexandria via LeMat-Bulk
Functional: GGA-PBE
Structure: optimized geometry

Lattice parameters (Å, degrees): 4.4669 8.9449 9.9888 103.03 102.92 90.00
With the nearest neighbours (Å) after each atom.
Element x y z (fractional)
1 Sb 0.3345 0.9172 0.6691  1 Tb 3.13, 3 Sm 3.15-3.18, 2 Ce 3.15
2 Sb 0.0002 0.7530 0.0005  2 Tb 3.14, 1 Ce 3.15, 3 Sm 3.15-3.18
3 Sb 0.6655 0.0828 0.3309  1 Tb 3.13, 3 Sm 3.15-3.18, 2 Ce 3.15
4 Sb 0.3331 0.4164 0.6662  3 Sm 3.16-3.17, 3 Ce 3.17
5 Sb 0.9998 0.2470 0.9995  2 Tb 3.14, 1 Ce 3.15, 3 Sm 3.15-3.18
6 Sb 0.6669 0.5836 0.3338  3 Sm 3.16-3.17, 3 Ce 3.17
7 Ce 0.8342 0.6679 0.6684  6 Sb 3.15-3.17
8 Ce 0.1658 0.3321 0.3316  6 Sb 3.15-3.17
9 Sm 0.8332 0.1656 0.6665  6 Sb 3.15-3.18
10 Sm 0.5000 0.5000 0.0000  6 Sb 3.16-3.18
11 Sm 0.1668 0.8344 0.3335  6 Sb 3.15-3.18
12 Tb 0.5000 0.0000 0.0000  6 Sb 3.13-3.14

---

# 11
Compound: TbCeSm2Sb4
Source: Alexandria via LeMat-Bulk
Functional: GGA-PBE
Structure: optimized geometry

Lattice parameters (Å, degrees): 4.4576 7.7204 7.7256 109.37 90.00 90.00
With the nearest neighbours (Å) after each atom.
Element x y z (fractional)
1 Sb 0.5000 0.7526 0.7535  2 Tb 3.14, 1 Ce 3.15, 3 Sm 3.16-3.17
2 Sb 0.5000 0.2474 0.2465  2 Tb 3.14, 1 Ce 3.15, 3 Sm 3.16-3.17
3 Sb 0.0000 0.7514 0.2484  1 Tb 3.13, 2 Ce 3.15, 3 Sm 3.15-3.17
4 Sb 0.0000 0.2486 0.7516  1 Tb 3.13, 2 Ce 3.15, 3 Sm 3.15-3.17
5 Ce 0.5000 0.5000 0.0000  6 Sb 3.15
6 Sm 0.0000 0.5000 0.5000  6 Sb 3.17
7 Sm 0.5000 0.0000 0.5000  6 Sb 3.15-3.16
8 Tb 0.0000 0.0000 0.0000  6 Sb 3.13-3.14

---

# 12
Compound: CeSmSbTe
Source: Alexandria via LeMat-Bulk
Functional: GGA-PBE
Structure: optimized geometry

Lattice parameters (Å, degrees): 5.4528 5.4528 5.4528 60.00 60.00 60.00
With the nearest neighbours (Å) after each atom.
Element x y z (fractional)
1 Ce 0.7500 0.7500 0.7500  4 Sb 3.34, 4 Te 3.34
2 Sb 0.5000 0.5000 0.5000  4 Ce 3.34, 4 Sm 3.34
3 Te 0.0000 0.0000 0.0000  4 Sm 3.34, 4 Ce 3.34
4 Sm 0.2500 0.2500 0.2500  4 Sb 3.34, 4 Te 3.34

Output
Energy above the most stable polymorph in this dataset, meV per atom: 207

---

Number 1: DFT total energy -5.424 eV per atom. Number 2: DFT total energy -5.718 eV per atom. Number 3: DFT total energy -5.437 eV per atom. Number 4: DFT total energy -5.779 eV per atom. Number 5: DFT total energy -5.975 eV per atom. Number 6: DFT total energy -5.524 eV per atom. Number 7: DFT total energy -5.390 eV per atom. Number 8: DFT total energy -4.754 eV per atom. Number 9: DFT total energy -5.825 eV per atom. Number 10: DFT total energy -5.745 eV per atom. Number 11: DFT total energy -5.699 eV per atom. Number 12: DFT total energy -5.551 eV per atom.